Entry 1:
A plane-wave DFT calculation with GGA-PBE was carried out for crystalline Dy4YCd at its relaxed geometry.

The density comes out at 8.0 g/cm³. The calculation puts the energy relative to the lowest polymorph listed for this composition at 0.063 eV/atom.

It has space group C2/c (No. 15), with a = 10.495 Å, b = 6.053 Å, c = 11.746 Å, α = 90.00°, β = 107.72° and γ = 90.00°. The asymmetric unit holds Dy at (0.081, 0.243, 0.000), Dy at (0.166, 0.416, 0.750), Y at (0.250, 0.250, 0.500) and Cd at (0.000, 0.087, 0.250).



Entry 2:
A plane-wave DFT calculation with GGA-PBE was carried out for crystalline DyYCd2 at its relaxed geometry.

The density comes out at 7.5 g/cm³. The calculation puts the energy relative to the lowest polymorph listed for this composition at 0.003 eV/atom.

It has space group P4/mmm (No. 123), with a = 5.281 Å, b = 5.281 Å, c = 3.772 Å, α = 90.00°, β = 90.00° and γ = 90.00°. The asymmetric unit holds Dy at (0.000, 0.000, 0.000), Y at (0.500, 0.500, 0.000) and Cd at (0.000, 0.500, 0.500).



Entry 3:
A plane-wave DFT calculation with GGA-PBE was carried out for crystalline Dy4Y2Cd at its relaxed geometry.

The density comes out at 7.2 g/cm³.

It has space group C2/m (No. 12), with a = 16.520 Å, b = 3.486 Å, c = 8.497 Å, α = 90.00°, β = 117.56° and γ = 90.00°. The asymmetric unit holds Dy at (0.081, 0.000, 0.202), Dy at (0.130, 0.500, 0.894), Y at (0.217, 0.000, 0.642) and Cd at (0.000, 0.000, 0.500).



Entry 4:
A plane-wave DFT calculation with GGA-PBE was carried out for crystalline DyY2Cd3 at its relaxed geometry.

The density comes out at 7.1 g/cm³.

It has space group P-3m1 (No. 164), with a = 5.2948 Å, b = 5.2948 Å, c = 6.5030 Å, α = 90.00°, β = 90.00° and γ = 120.00°. The asymmetric unit holds Dy at (0.0000, 0.0000, 0.0000), Y at (0.3333, 0.6667, 0.6667), Cd at (0.0000, 0.0000, 0.5000) and Cd at (0.3333, 0.6667, 0.1658).



Entry 5:
A plane-wave DFT calculation with GGA-PBE was carried out for crystalline Dy4Y5Cd at its relaxed geometry.

The density comes out at 6.5 g/cm³.

It has space group P4/mmm (No. 123), with a = 3.568 Å, b = 3.568 Å, c = 24.248 Å, α = 90.00°, β = 90.00° and γ = 90.00°. The asymmetric unit holds Dy at (0.000, 0.000, 0.103), Dy at (0.000, 0.000, 0.311), Y at (0.500, 0.500, 0.000), Y at (0.500, 0.500, 0.207), Y at (0.500, 0.500, 0.414) and Cd at (0.000, 0.000, 0.500).



Entry 6:
A plane-wave DFT calculation with GGA-PBE was carried out for crystalline Dy2Y3Cd4 at its relaxed geometry.

The density comes out at 6.8 g/cm³.

It has space group Cmce (No. 64), with a = 6.747 Å, b = 18.768 Å, c = 8.033 Å, α = 90.00°, β = 90.00° and γ = 90.00°. The asymmetric unit holds Dy at (0.000, 0.092, 0.099), Y at (0.000, 0.000, 0.500), Y at (0.250, 0.245, 0.750), Cd at (0.000, 0.160, 0.480) and Cd at (0.250, 0.076, 0.750).



Entry 7:
A plane-wave DFT calculation with GGA-PBE was carried out for crystalline DyY3Cd2 at its relaxed geometry.

The density comes out at 6.4 g/cm³. The calculation puts the energy relative to the lowest polymorph listed for this composition at 0.021 eV/atom.

It has space group P4/mmm (No. 123), with a = 3.676 Å, b = 3.676 Å, c = 12.641 Å, α = 90.00°, β = 90.00° and γ = 90.00°. The asymmetric unit holds Dy at (0.000, 0.000, 0.000), Y at (0.500, 0.500, 0.194), Y at (0.500, 0.500, 0.500) and Cd at (0.000, 0.000, 0.348).



Entry 8:
A plane-wave DFT calculation with GGA-PBE was carried out for crystalline Dy5YCd6 at its relaxed geometry.

The density comes out at 8.3 g/cm³.

It has space group P2/m (No. 10), with a = 5.287 Å, b = 7.506 Å, c = 8.363 Å, α = 90.00°, β = 108.24° and γ = 90.00°. The asymmetric unit holds Dy at (0.000, 0.000, 0.000), Dy at (0.333, 0.000, 0.667), Dy at (0.333, 0.500, 0.666), Y at (0.000, 0.500, 0.000), Cd at (0.167, 0.249, 0.334) and Cd at (0.500, 0.250, 0.000).



| no. | energy of formation from the pure elements (meV/atom) |
| --- | --- |
| 1 | -25.9 |
| 2 | -337.7 |
| 3 | 44.5 |
| 4 | -344.0 |
| 5 | -48.4 |
| 6 | -151.3 |
| 7 | -213.0 |
| 8 | -325.0 |